[1]
# GGA-PBE MnP2Ir, relaxed
data_MnP2Ir
_chemical_formula_sum 'Mn3 P6 Ir3'
_symmetry_space_group_name_H-M 'R -3 m'
_symmetry_Int_Tables_number 166
_symmetry_space_group_name_Hall '-R 3 2"'
_cell_length_a 2.8342
_cell_length_b 2.8342
_cell_length_c 21.5970
_cell_angle_alpha 90.00
_cell_angle_beta 90.00
_cell_angle_gamma 120.00
loop_
_atom_site_label
_atom_site_type_symbol
_atom_site_fract_x
_atom_site_fract_y
_atom_site_fract_z
_atom_site_occupancy
Mn1 Mn 0.0000 0.0000 0.0000 1
P1 P 0.0000 0.0000 0.2568 1
Ir1 Ir 0.0000 0.0000 0.5000 1
# Distance to the lowest polymorph of the same formula in eV/f.u.: 0.721

---

[2]
Density functional theory data (GGA-PBE) for crystalline Mn4PIr at its relaxed geometry.

Geometry as CIF:
```
data_Mn4PIr
_chemical_formula_sum 'Mn16 P4 Ir4'
_symmetry_space_group_name_H-M 'F -4 3 m'
_symmetry_Int_Tables_number 216
_symmetry_space_group_name_Hall 'F -4 2 3'
_cell_length_a 6.613
_cell_length_b 6.613
_cell_length_c 6.613
_cell_angle_alpha 90.00
_cell_angle_beta 90.00
_cell_angle_gamma 90.00
loop_
_atom_site_label
_atom_site_type_symbol
_atom_site_fract_x
_atom_site_fract_y
_atom_site_fract_z
_atom_site_occupancy
Mn1 Mn 0.125 0.125 0.125 1
P1 P 0.000 0.000 0.500 1
Ir1 Ir 0.250 0.250 0.750 1
```

---

[3]
# GGA-PBE MnP2Ir, relaxed
data_MnP2Ir
_chemical_formula_sum 'Mn2 P4 Ir2'
_symmetry_space_group_name_H-M 'C 1 2/m 1'
_symmetry_Int_Tables_number 12
_cell_length_a 7.328
_cell_length_b 2.842
_cell_length_c 4.898
_cell_angle_alpha 90.00
_cell_angle_beta 102.50
_cell_angle_gamma 90.00
loop_
_symmetry_equiv_pos_as_xyz
'x,y,z'
'-x,-y,-z'
'-x,y,-z'
'x,-y,z'
'x+1/2,y+1/2,z'
'-x+1/2,-y+1/2,-z'
'-x+1/2,y+1/2,-z'
'x+1/2,-y+1/2,z'
loop_
_atom_site_label
_atom_site_type_symbol
_atom_site_fract_x
_atom_site_fract_y
_atom_site_fract_z
_atom_site_occupancy
Mn1 Mn 0.000 0.000 0.000 1
P1 P 0.244 0.500 0.220 1
Ir1 Ir 0.000 0.500 0.500 1
# Distance to the lowest polymorph of the same formula in eV/f.u.: 0.626

---

[4]
Density functional theory data (GGA-PBE) for crystalline Mn2PIr at its relaxed geometry.

Geometry as CIF:
```
data_Mn2PIr
_chemical_formula_sum 'Mn2 P1 Ir1'
_symmetry_space_group_name_H-M 'P 4 m m'
_symmetry_Int_Tables_number 99
_cell_length_a 2.820
_cell_length_b 2.820
_cell_length_c 6.307
_cell_angle_alpha 90.00
_cell_angle_beta 90.00
_cell_angle_gamma 90.00
loop_
_symmetry_equiv_pos_as_xyz
'x,y,z'
'-y,x,z'
'-x,-y,z'
'y,-x,z'
'-x,y,z'
'y,x,z'
'x,-y,z'
'-y,-x,z'
loop_
_atom_site_label
_atom_site_type_symbol
_atom_site_fract_x
_atom_site_fract_y
_atom_site_fract_z
_atom_site_occupancy
Mn1 Mn 0.000 0.000 0.000 1
Mn2 Mn 0.500 0.500 0.270 1
P1 P 0.000 0.000 0.455 1
Ir1 Ir 0.500 0.500 0.705 1
```

---

[5]
Density functional theory data (GGA-PBE) for crystalline Pa2MnP4Ir3 at its relaxed geometry.

Geometry as CIF:
```
data_Pa2MnP4Ir3
_chemical_formula_sum 'Pa2 Mn1 P4 Ir3'
_symmetry_space_group_name_H-M 'P -4 m 2'
_symmetry_Int_Tables_number 115
_cell_length_a 4.133
_cell_length_b 4.133
_cell_length_c 9.353
_cell_angle_alpha 90.00
_cell_angle_beta 90.00
_cell_angle_gamma 90.00
loop_
_symmetry_equiv_pos_as_xyz
'x,y,z'
'y,-x,-z'
'-x,-y,z'
'-y,x,-z'
'-x,y,z'
'-y,-x,-z'
'x,-y,z'
'y,x,-z'
loop_
_atom_site_label
_atom_site_type_symbol
_atom_site_fract_x
_atom_site_fract_y
_atom_site_fract_z
_atom_site_occupancy
Pa1 Pa 0.000 0.500 0.247 1
Mn1 Mn 0.500 0.500 0.000 1
P1 P 0.000 0.000 0.500 1
P2 P 0.000 0.500 0.869 1
P3 P 0.500 0.500 0.500 1
Ir1 Ir 0.000 0.000 0.000 1
Ir2 Ir 0.000 0.500 0.617 1
```

---

[6]
Density functional theory data (GGA-PBE) for crystalline Pm2MnP3Ir4 at its relaxed geometry.

Geometry as CIF:
```
data_Pm2MnP3Ir4
_chemical_formula_sum 'Pm2 Mn1 P3 Ir4'
_symmetry_space_group_name_H-M 'P -4 m 2'
_symmetry_Int_Tables_number 115
_cell_length_a 4.105
_cell_length_b 4.105
_cell_length_c 9.914
_cell_angle_alpha 90.00
_cell_angle_beta 90.00
_cell_angle_gamma 90.00
loop_
_symmetry_equiv_pos_as_xyz
'x,y,z'
'y,-x,-z'
'-x,-y,z'
'-y,x,-z'
'-x,y,z'
'-y,-x,-z'
'x,-y,z'
'y,x,-z'
loop_
_atom_site_label
_atom_site_type_symbol
_atom_site_fract_x
_atom_site_fract_y
_atom_site_fract_z
_atom_site_occupancy
Pm1 Pm 0.000 0.500 0.247 1
Mn1 Mn 0.500 0.500 0.000 1
P1 P 0.000 0.000 0.000 1
P2 P 0.000 0.500 0.638 1
Ir1 Ir 0.000 0.000 0.500 1
Ir2 Ir 0.000 0.500 0.873 1
Ir3 Ir 0.500 0.500 0.500 1
```

---

[7]
Density functional theory data (GGA-PBE) for crystalline Pr2MnP4Ir3 at its relaxed geometry.

Geometry as CIF:
```
data_Pr2MnP4Ir3
_chemical_formula_sum 'Pr2 Mn1 P4 Ir3'
_symmetry_space_group_name_H-M 'P -4 m 2'
_symmetry_Int_Tables_number 115
_cell_length_a 4.196
_cell_length_b 4.196
_cell_length_c 9.492
_cell_angle_alpha 90.00
_cell_angle_beta 90.00
_cell_angle_gamma 90.00
loop_
_symmetry_equiv_pos_as_xyz
'x,y,z'
'y,-x,-z'
'-x,-y,z'
'-y,x,-z'
'-x,y,z'
'-y,-x,-z'
'x,-y,z'
'y,x,-z'
loop_
_atom_site_label
_atom_site_type_symbol
_atom_site_fract_x
_atom_site_fract_y
_atom_site_fract_z
_atom_site_occupancy
Pr1 Pr 0.000 0.500 0.242 1
Mn1 Mn 0.000 0.000 0.500 1
P1 P 0.000 0.000 0.000 1
P2 P 0.000 0.500 0.625 1
P3 P 0.500 0.500 0.000 1
Ir1 Ir 0.000 0.500 0.885 1
Ir2 Ir 0.500 0.500 0.500 1
```

---

[8]
# GGA-PBE MnPIrRh2, relaxed
data_MnPIrRh2
_chemical_formula_sum 'Mn1 P1 Ir1 Rh2'
_symmetry_space_group_name_H-M 'P 4/m m m'
_symmetry_Int_Tables_number 123
_symmetry_space_group_name_Hall '-P 4 2'
_cell_length_a 4.359
_cell_length_b 4.359
_cell_length_c 4.383
_cell_angle_alpha 90.00
_cell_angle_beta 90.00
_cell_angle_gamma 90.00
loop_
_atom_site_label
_atom_site_type_symbol
_atom_site_fract_x
_atom_site_fract_y
_atom_site_fract_z
_atom_site_occupancy
Mn1 Mn 0.000 0.000 0.000 1
P1 P 0.500 0.500 0.500 1
Ir1 Ir 0.500 0.500 0.000 1
Rh1 Rh 0.000 0.500 0.500 1
# Distance to the lowest polymorph of the same formula in eV/f.u.: 0.000

---

[9]
# GGA-PBE MnPIrRh2, relaxed
data_MnPIrRh2
_chemical_formula_sum 'Mn1 P1 Ir1 Rh2'
_symmetry_space_group_name_H-M 'P 4/m m m'
_symmetry_Int_Tables_number 123
_symmetry_space_group_name_Hall '-P 4 2'
_cell_length_a 4.421
_cell_length_b 4.421
_cell_length_c 4.459
_cell_angle_alpha 90.00
_cell_angle_beta 90.00
_cell_angle_gamma 90.00
loop_
_atom_site_label
_atom_site_type_symbol
_atom_site_fract_x
_atom_site_fract_y
_atom_site_fract_z
_atom_site_occupancy
Mn1 Mn 0.000 0.000 0.000 1
P1 P 0.500 0.500 0.500 1
Ir1 Ir 0.000 0.000 0.500 1
Rh1 Rh 0.000 0.500 0.000 1
# Distance to the lowest polymorph of the same formula in eV/f.u.: 5.912

---

[10]
# GGA-PBE MnP2IrSe, relaxed
data_MnP2IrSe
_chemical_formula_sum 'Mn1 P2 Ir1 Se1'
_symmetry_space_group_name_H-M 'P 4/m m m'
_symmetry_Int_Tables_number 123
_symmetry_space_group_name_Hall '-P 4 2'
_cell_length_a 4.451
_cell_length_b 4.451
_cell_length_c 5.306
_cell_angle_alpha 90.00
_cell_angle_beta 90.00
_cell_angle_gamma 90.00
loop_
_atom_site_label
_atom_site_type_symbol
_atom_site_fract_x
_atom_site_fract_y
_atom_site_fract_z
_atom_site_occupancy
Mn1 Mn 0.000 0.000 0.000 1
P1 P 0.000 0.500 0.500 1
Ir1 Ir 0.500 0.500 0.500 1
Se1 Se 0.500 0.500 0.000 1
# E_form (uncorrected) in eV/atom: 1.185

---

[11]
Density functional theory data (GGA-PBE) for crystalline Sm2MnP4Ir3 at its relaxed geometry.

Geometry as CIF:
```
data_Sm2MnP4Ir3
_chemical_formula_sum 'Sm2 Mn1 P4 Ir3'
_symmetry_space_group_name_H-M 'P -4 m 2'
_symmetry_Int_Tables_number 115
_cell_length_a 4.165
_cell_length_b 4.165
_cell_length_c 9.411
_cell_angle_alpha 90.00
_cell_angle_beta 90.00
_cell_angle_gamma 90.00
loop_
_symmetry_equiv_pos_as_xyz
'x,y,z'
'y,-x,-z'
'-x,-y,z'
'-y,x,-z'
'-x,y,z'
'-y,-x,-z'
'x,-y,z'
'y,x,-z'
loop_
_atom_site_label
_atom_site_type_symbol
_atom_site_fract_x
_atom_site_fract_y
_atom_site_fract_z
_atom_site_occupancy
Sm1 Sm 0.000 0.500 0.242 1
Mn1 Mn 0.000 0.000 0.500 1
P1 P 0.000 0.000 0.000 1
P2 P 0.000 0.500 0.626 1
P3 P 0.500 0.500 0.000 1
Ir1 Ir 0.000 0.500 0.883 1
Ir2 Ir 0.500 0.500 0.500 1
```

---

[12]
Density functional theory data (GGA-PBE) for crystalline SrMnP2Ir at its relaxed geometry.

Geometry as CIF:
```
data_SrMnP2Ir
_chemical_formula_sum 'Sr2 Mn2 P4 Ir2'
_symmetry_space_group_name_H-M 'I -4 m 2'
_symmetry_Int_Tables_number 119
_symmetry_space_group_name_Hall 'I -4 -2'
_cell_length_a 3.970
_cell_length_b 3.970
_cell_length_c 11.476
_cell_angle_alpha 90.00
_cell_angle_beta 90.00
_cell_angle_gamma 90.00
loop_
_atom_site_label
_atom_site_type_symbol
_atom_site_fract_x
_atom_site_fract_y
_atom_site_fract_z
_atom_site_occupancy
Sr1 Sr 0.000 0.000 0.000 1
Mn1 Mn 0.000 0.500 0.250 1
P1 P 0.000 0.000 0.352 1
Ir1 Ir 0.000 0.500 0.750 1
```

---

[13]
Density functional theory data (GGA-PBE) for crystalline TaMnPIr2 at its relaxed geometry.

Geometry as CIF:
```
data_TaMnPIr2
_chemical_formula_sum 'Ta1 Mn1 P1 Ir2'
_symmetry_space_group_name_H-M 'P 4/m m m'
_symmetry_Int_Tables_number 123
_symmetry_space_group_name_Hall '-P 4 2'
_cell_length_a 4.423
_cell_length_b 4.423
_cell_length_c 4.606
_cell_angle_alpha 90.00
_cell_angle_beta 90.00
_cell_angle_gamma 90.00
loop_
_atom_site_label
_atom_site_type_symbol
_atom_site_fract_x
_atom_site_fract_y
_atom_site_fract_z
_atom_site_occupancy
Ta1 Ta 0.000 0.000 0.000 1
Mn1 Mn 0.000 0.000 0.500 1
P1 P 0.500 0.500 0.000 1
Ir1 Ir 0.000 0.500 0.500 1
```

---

[14]
Density functional theory data (GGA-PBE) for crystalline MnTcPIr at its relaxed geometry.

Geometry as CIF:
```
data_MnTcPIr
_chemical_formula_sum 'Mn4 Tc4 P4 Ir4'
_symmetry_space_group_name_H-M 'F -4 3 m'
_symmetry_Int_Tables_number 216
_symmetry_space_group_name_Hall 'F -4 2 3'
_cell_length_a 5.973
_cell_length_b 5.973
_cell_length_c 5.973
_cell_angle_alpha 90.00
_cell_angle_beta 90.00
_cell_angle_gamma 90.00
loop_
_atom_site_label
_atom_site_type_symbol
_atom_site_fract_x
_atom_site_fract_y
_atom_site_fract_z
_atom_site_occupancy
Mn1 Mn 0.000 0.000 0.000 1
Tc1 Tc 0.250 0.250 0.750 1
P1 P 0.000 0.000 0.500 1
Ir1 Ir 0.250 0.250 0.250 1
```

---

The records above give, respectively, raw total energy values of -29.51; -48.87; -29.61; -33.20; -85.71; -79.12; -76.37; -37.67; -31.76; -26.41; -76.39; -34.60; -37.97; -34.47 eV/f.u..